Compound: La2TbHo6Er3
Source: Alexandria
Functional: PBE
Structure: optimized geometry

Cell lengths 6.1717, 6.1717, 11.7834 Å; angles 95.00, 95.00, 119.98 degrees
Positions (direct):
La 0.1667 0.8333 0.0000
La 0.8333 0.1667 0.0000
Tb 0.5000 0.5000 0.0000
Ho 0.0820 0.4143 0.7449
Ho 0.2536 0.2536 0.2552
Ho 0.4143 0.0820 0.7449
Ho 0.5857 0.9180 0.2551
Ho 0.7464 0.7464 0.7448
Ho 0.9180 0.5857 0.2551
Er 0.0000 0.0000 0.5000
Er 0.3336 0.6664 0.5000
Er 0.6664 0.3336 0.5000

* density of states at the Fermi level: 1.382 states/eV per atom
* raw total energy: -4.612 eV/atom
* formation energy: 0.0247 eV/atom
* size of the total moment: 0.00 Bohr magnetons per cell

***

Compound: La2TbHoEr
Source: Alexandria
Functional: PBE
Structure: optimized geometry

Cell lengths 6.3899, 7.8724, 6.8110 Å; angles 90.00, 90.00, 90.00 degrees
Positions (direct):
La 0.2500 0.2009 0.2061
La 0.2500 0.7991 0.2061
La 0.7500 0.2009 0.7939
La 0.7500 0.7991 0.7939
Tb 0.2500 0.0000 0.6793
Tb 0.7500 0.0000 0.3207
Ho 0.0000 0.5000 0.5000
Ho 0.5000 0.5000 0.5000
Er 0.2500 0.5000 0.9055
Er 0.7500 0.5000 0.0945

* density of states at the Fermi level: 1.309 states/eV per atom
* raw total energy: -4.479 eV/atom
* formation energy: 0.2458 eV/atom
* size of the total moment: 0.00 Bohr magnetons per cell